DFT (PBE) results for crystalline NiSb2Te at its relaxed geometry.

Calculated values
crystal system	tetragonal
DOS(E_F)	0.78	states/eV/cell
raw formation energy	1.57	kcal/mol of atoms
V	242	Å³/cell
symmetry	I-42d (122)
size of the total moment	0.0	Bohr magnetons per cell

Cell and atoms, written as extended XYZ:
```
8
Lattice="6.273 0.000 0.000 0.000 6.273 0.000 3.136 3.136 6.138" Properties=species:S:1:pos:R:3 pbc="T T T"
Sb 4.177 1.568 1.535
Sb 2.096 4.705 1.535
Sb 4.705 5.233 4.604
Sb 7.841 7.313 4.604
Te 0.000 0.000 0.000
Te 6.273 3.136 3.069
Ni 3.136 3.136 0.000
Ni 3.136 6.273 3.069
```